Below is crystalline ZrNbS2 at its relaxed geometry, with properties calculated at the PBE level.

Computed properties:
- SG = Pnma
- offset from the most stable computed form (meV per atom) = 0.0
- DOS(E_F) (states/eV per cell) = 13.4
- crystal system = orthorhombic
- E_form (uncorrected) (eV/atom) = -1.097

extended XYZ file:
```
16
Lattice="-2.536 0.391 -2.200 1.897 -4.579 -3.001 -8.558 -8.964 8.270" Properties=species:S:1:pos:R:3 pbc="T T T"
Zr -7.650 -10.014 5.738
Zr -1.548 -3.138 -2.668
Zr -3.911 -9.381 1.541
Zr -5.287 -3.771 1.529
Nb -5.825 -7.957 4.000
Nb -3.373 -5.195 -0.931
Nb -5.820 -11.235 3.412
Nb -3.377 -1.917 -0.342
S -0.829 -5.174 -1.263
S -8.368 -7.979 4.333
S -2.739 -3.891 1.167
S -6.459 -9.261 1.903
S -2.868 -7.096 0.745
S -6.330 -6.057 2.325
S -0.824 -1.672 -0.646
S -8.374 -11.480 3.716
```